(1)
Compound: LiPa2B
Source: the Alexandria database
Functional: PBE
Structure: optimized geometry

Cell lengths 3.3267, 3.3267, 9.9327 Å; angles 80.36, 80.36, 60.00 degrees
Fractional positions:
Pa 0.8860 0.8860 0.3419
B 0.5000 0.5000 0.5000
Li 0.0000 0.0000 0.0000
Pa 0.1140 0.1140 0.6581

Results
The calculation puts the total energy at -26.82 eV for the cell shown. Its energy of formation is 0.190 eV per atom.

***

(2)
Compound: Zn3Ni7
Source: the Alexandria database
Functional: PBE
Structure: optimized geometry

Cell lengths 3.6364, 5.0557, 6.7214 Å; angles 103.11, 105.69, 90.00 degrees
Site moments in Bohr magnetons follow the coordinates.
Fractional positions:
Zn 0.1968 0.6055 0.3935  -0.01
Ni 0.4003 0.1963 0.8005  0.29
Zn 0.0000 0.0000 0.0000  -0.02
Ni 0.7990 0.8991 0.5981  0.18
Ni 0.5995 0.3005 0.1991  0.22
Ni 0.4005 0.6995 0.8009  0.22
Zn 0.8032 0.3945 0.6065  -0.01
Ni 0.5997 0.8037 0.1995  0.29
Ni 0.0000 0.5000 0.0000  0.28
Ni 0.2010 0.1009 0.4019  0.18

Results
The calculation puts the total energy at -45.65 eV for the cell shown. Its energy of formation is -0.136 eV per atom.

***

(3)
Compound: AcLa2Tb2Pm2
Source: the Alexandria database
Functional: PBE
Structure: optimized geometry

Cell lengths 5.2381, 6.4186, 8.2893 Å; angles 97.44, 90.00, 114.08 degrees
Fractional positions:
Pm 0.8586 0.7172 0.5690
Tb 0.5738 0.1476 0.7052
Pm 0.1414 0.2828 0.4310
Tb 0.4262 0.8524 0.2948
La 0.2851 0.5703 0.8514
La 0.7149 0.4297 0.1486
Ac 0.0000 0.0000 0.0000

Results
The calculation puts the total energy at -32.48 eV for the cell shown. Its energy of formation is 0.036 eV per atom.

***

(4)
Compound: La4TbS4
Source: the Alexandria database
Functional: PBE
Structure: optimized geometry

Cell lengths 5.8601, 7.0668, 7.0664 Å; angles 80.07, 65.50, 65.50 degrees
Fractional positions:
Tb 0.0000 0.0000 0.0000
La 0.1995 0.2018 0.3993
S 0.0969 0.6107 0.1955
S 0.7075 0.1959 0.3891
La 0.8005 0.7982 0.6007
La 0.4013 0.3990 0.7984
La 0.5987 0.6010 0.2016
S 0.9031 0.3893 0.8045
S 0.2925 0.8041 0.6109

Results
The calculation puts the total energy at -57.54 eV for the cell shown. The value obtained for the uncorrected formation energy is -1854.6 meV/atom.

***

(5)
Compound: Mg3P
Source: the Alexandria database
Functional: PBE
Structure: optimized geometry

Cell lengths 3.6626, 3.6626, 5.7839 Å; angles 90.00, 90.00, 90.00 degrees
Fractional positions:
Mg 0.0000 0.0000 0.5190
Mg 0.5000 0.5000 0.2500
Mg 0.0000 0.0000 0.9810
P 0.5000 0.5000 0.7500

Results
The calculation puts the total energy at -10.65 eV for the cell shown. Its energy of formation is -0.113 eV per atom.

***

(6)
Compound: BaP2HPd
Source: the Alexandria database
Functional: PBE
Structure: optimized geometry

Cell lengths 6.3851, 5.8171, 6.3851 Å; angles 90.00, 90.00, 90.00 degrees
Site moments in Bohr magnetons follow the coordinates.
Fractional positions:
P 0.0000 0.0000 0.5000  0.93
Pd 0.0000 0.5000 0.0000  -0.02
P 0.5000 0.0000 0.0000  0.77
H 0.5000 0.5000 0.5000  0.38
Ba 0.0000 0.0000 0.0000  0.02

Results
As for the energy above the most stable polymorph in this dataset: 854 kJ/mol of formula units. The calculation puts the total energy at -12.96 eV for the cell shown.

***

(7)
Compound: Nd2VCu
Source: the Alexandria database
Functional: PBE
Structure: optimized geometry

Cell lengths 3.3371, 3.3371, 10.6317 Å; angles 80.97, 80.97, 60.00 degrees
Site moments in Bohr magnetons follow the coordinates.
Fractional positions:
Nd 0.0927 0.0927 0.7219  0.01
Nd 0.9073 0.9073 0.2781  0.01
V 0.0000 0.0000 0.0000  2.66
Cu 0.5000 0.5000 0.5000  0.00

Results
The calculation puts the total energy at -19.94 eV for the cell shown. Its energy of formation is 0.703 eV per atom.

***

Computed calculated volume (Å³ per cell) in order:
93.4; 115.6; 251.9; 242.3; 77.6; 237.2; 100.8